# LiTmZn6Ga

An optimized crystal structure of LiTmZn6Ga (PBE-GGA, Alexandria).

Calculated values
D(E_F) = 0.30 states/eV/atom
Uncorrected energy = -34.80 eV/cell

abc: 6.839 8.869 7.827
angles: 124.52 115.91 90.00
Positions (direct):
1 Li 0.500 0.000 0.500
2 Li 0.000 0.000 0.500
3 Tm 0.698 0.448 0.395
4 Tm 0.302 0.552 0.605
5 Zn 0.581 0.831 0.161
6 Zn 0.984 0.234 0.969
7 Zn 0.945 0.151 0.260
8 Zn 0.315 0.609 0.260
9 Zn 0.315 0.151 0.260
10 Zn 0.945 0.609 0.260
11 Zn 0.419 0.169 0.839
12 Zn 0.016 0.766 0.031
13 Zn 0.055 0.849 0.740
14 Zn 0.685 0.391 0.740
15 Zn 0.685 0.849 0.740
16 Zn 0.055 0.391 0.740
17 Ga 0.500 0.500 0.000
18 Ga 0.500 0.000 0.000

=====

# TlRe2Hg

An optimized crystal structure of TlRe2Hg (PBE-GGA, Alexandria).

Calculated values
D(E_F) = 1.44 states/eV/atom
Uncorrected energy = -22.32 eV/cell

abc: 5.260 5.260 2.941
angles: 90.00 90.00 116.11
Positions (direct):
1 Hg 0.000 0.500 0.500
2 Re 0.000 0.000 0.000
3 Re 0.500 0.500 0.000
4 Tl 0.500 0.000 0.500

=====

# ScIn2Hg

An optimized crystal structure of ScIn2Hg (PBE-GGA, Alexandria).

Calculated values
D(E_F) = 0.37 states/eV/atom
Uncorrected energy = -13.05 eV/cell

abc: 5.226 5.226 3.559
angles: 90.00 90.00 104.63
Positions (direct):
1 Sc 0.500 0.000 0.500
2 Hg 0.000 0.500 0.500
3 In 0.000 0.000 0.000
4 In 0.500 0.500 0.000

=====

# Tb2Dy7Y3

An optimized crystal structure of Tb2Dy7Y3 (PBE-GGA, Alexandria).

Calculated values
D(E_F) = 1.47 states/eV/atom
Uncorrected energy = -59.96 eV/cell

abc: 3.519 6.321 17.856
angles: 75.59 90.00 90.00
Positions (direct):
1 Tb 0.500 0.613 0.327
2 Tb 0.500 0.387 0.673
3 Dy 0.500 0.243 0.502
4 Dy 0.500 0.757 0.498
5 Dy 0.000 0.561 0.166
6 Dy 0.000 0.000 0.000
7 Dy 0.000 0.439 0.834
8 Dy 0.500 0.943 0.833
9 Dy 0.500 0.057 0.167
10 Y 0.500 0.500 0.000
11 Y 0.000 0.108 0.342
12 Y 0.000 0.892 0.658

=====

# Ac2ErPt

An optimized crystal structure of Ac2ErPt (PBE-GGA, Alexandria).

Calculated values
D(E_F) = 1.08 states/eV/atom
Uncorrected energy = -20.57 eV/cell

abc: 3.890 3.890 8.616
angles: 90.00 90.00 90.00
Positions (direct):
1 Ac 0.000 0.000 0.795
2 Ac 0.000 0.000 0.205
3 Pt 0.500 0.500 0.000
4 Er 0.500 0.500 0.500

=====

# CaTbCu10

An optimized crystal structure of CaTbCu10 (PBE-GGA, Alexandria).

Calculated values
D(E_F) = 0.54 states/eV/atom
Uncorrected energy = -49.48 eV/cell

abc: 4.051 5.110 8.779
angles: 90.00 90.00 90.00
Positions (direct):
1 Ca 0.000 0.000 0.000
2 Tb 0.000 0.500 0.500
3 Cu 0.000 0.000 0.335
4 Cu 0.000 0.500 0.832
5 Cu 0.000 0.500 0.168
6 Cu 0.000 0.000 0.665
7 Cu 0.500 0.000 0.500
8 Cu 0.500 0.500 0.000
9 Cu 0.500 0.253 0.254
10 Cu 0.500 0.747 0.746
11 Cu 0.500 0.747 0.254
12 Cu 0.500 0.253 0.746

=====

# NaEuLuCd

An optimized crystal structure of NaEuLuCd (PBE-GGA, Alexandria).

Calculated values
D(E_F) = 1.66 states/eV/atom
Uncorrected energy = -16.92 eV/cell

abc: 5.509 5.509 5.509
angles: 60.00 60.00 60.00
Last column: magnetic moment on the atom in μB.
Positions (direct):
1 Eu 0.000 0.000 0.000  -6.88
2 Na 0.250 0.250 0.250  -0.01
3 Lu 0.500 0.500 0.500  -0.06
4 Cd 0.750 0.750 0.750  -0.01

=====

# ZnHgPd4

An optimized crystal structure of ZnHgPd4 (PBE-GGA, Alexandria).

Calculated values
D(E_F) = 0.44 states/eV/atom
Uncorrected energy = -23.89 eV/cell

abc: 3.019 5.065 7.120
angles: 103.78 77.76 72.66
Positions (direct):
1 Zn 0.500 0.500 0.500
2 Hg 0.000 0.000 0.000
3 Pd 0.859 0.471 0.812
4 Pd 0.302 0.045 0.350
5 Pd 0.141 0.529 0.188
6 Pd 0.698 0.955 0.650

=====

# MoCCl2

An optimized crystal structure of MoCCl2 (PBE-GGA, Alexandria).

Calculated values
D(E_F) = 0.94 states/eV/atom
E_form (uncorrected) = 0.518 eV/atom

abc: 9.162 9.162 6.769
angles: 47.41 47.41 90.00
Positions (direct):
1 Mo 0.000 0.000 0.000
2 Mo 0.750 0.250 0.500
3 C 0.500 0.500 0.000
4 C 0.250 0.750 0.500
5 Cl 0.785 0.125 0.250
6 Cl 0.965 0.625 0.250
7 Cl 0.375 0.215 0.750
8 Cl 0.875 0.035 0.750

=====

For each record above, in turn, the calculated total magnetic moment values are 0.0 0.0 0.0 0.0 0.0 0.0 7.3 0.0 0.0 μB/f.u..